# 1
The following is a PBE calculation of a relaxed Ca4PtAu2 crystal, from Alexandria.

abc: 5.0667 5.0667 24.9886
angles: 90.00 90.00 120.00
Space group R-3m (No. 166, hexagonal axes)
One atom of each set of equivalent atoms:
Ca 0.0000 0.0000 0.1220 [6 per cell]
Ca 0.0000 0.0000 0.3716 [6 per cell]
Pt 0.0000 0.0000 0.0000 [3 per cell]
Au 0.0000 0.0000 0.2472 [6 per cell]

Computed properties:
For the energy, the calculation gives -77.5 eV per cell. As for the calculated density: 6.7 g/cm³. As for the formation energy: -0.75 eV per atom. The value obtained for the size of the total moment is 0.000 μB per atom.

---

# 2
The following is a PBE calculation of a relaxed Ca2Pt2Au crystal, from Alexandria.

abc: 7.283 7.283 4.099
angles: 90.00 90.00 90.00
Space group P4/mbm (No. 127)
One atom of each set of equivalent atoms:
Ca 0.173 0.327 0.000 [4 per cell]
Pt 0.131 0.631 0.500 [4 per cell]
Au 0.000 0.000 0.500 [2 per cell]

Computed properties:
For the energy, the calculation gives -46.7 eV per cell. As for the calculated density: 10.2 g/cm³. The calculation puts the energy above the most stable polymorph in this dataset at 0.31 eV/f.u. As for the formation energy: -0.80 eV per atom. The value obtained for the size of the total moment is 0.000 μB per atom.

---

# 3
The following is a PBE calculation of a relaxed CaPt2Au crystal, from Alexandria.

abc: 4.151 4.151 8.521
angles: 90.00 90.00 90.00
Space group I-4m2 (No. 119)
One atom of each set of equivalent atoms:
Ca 0.000 0.000 0.000 [2 per cell]
Pt 0.000 0.000 0.500 [2 per cell]
Pt 0.000 0.500 0.250 [2 per cell]
Au 0.000 0.500 0.750 [2 per cell]

Computed properties:
For the energy, the calculation gives -38.6 eV per cell. As for the calculated density: 14.2 g/cm³. As for the formation energy: -0.48 eV per atom. The value obtained for the size of the total moment is 0.000 μB per atom.

---

# 4
The following is a PBE calculation of a relaxed Ca2Pt2Au crystal, from Alexandria.

abc: 3.777 3.777 16.423
angles: 90.00 90.00 90.00
Space group I4/mmm (No. 139)
One atom of each set of equivalent atoms:
Ca 0.000 0.000 0.112 [4 per cell]
Pt 0.000 0.500 0.250 [4 per cell]
Au 0.000 0.000 0.500 [2 per cell]

Computed properties:
For the energy, the calculation gives -45.3 eV per cell. As for the calculated density: 9.5 g/cm³. The calculation puts the energy above the most stable polymorph in this dataset at 0.98 eV/f.u. As for the formation energy: -0.66 eV per atom. The value obtained for the size of the total moment is 0.000 μB per atom.

---

# 5
The following is a PBE calculation of a relaxed Ca5PtAu crystal, from Alexandria.

abc: 9.796 9.411 9.479
angles: 90.00 93.97 90.00
Space group C2/c (No. 15)
One atom of each set of equivalent atoms:
Ca 0.000 0.188 0.250 [4 per cell]
Ca 0.143 0.223 0.666 [8 per cell]
Ca 0.177 0.437 0.005 [8 per cell]
Pt 0.000 0.489 0.750 [4 per cell]
Au 0.000 0.000 0.000 [4 per cell]

Computed properties:
For the energy, the calculation gives -92.0 eV per cell. As for the calculated density: 4.5 g/cm³. As for the formation energy: -0.52 eV per atom. The value obtained for the size of the total moment is 0.000 μB per atom.

---

# 6
The following is a PBE calculation of a relaxed CaPtAu crystal, from Alexandria.

abc: 3.2818 3.2818 6.6864
angles: 90.00 90.00 120.00
Space group P3m1 (No. 156)
One atom of each set of equivalent atoms:
Ca 0.0000 0.0000 0.0000 [1 per cell]
Pt 0.6667 0.3333 0.3214 [1 per cell]
Au 0.3333 0.6667 0.6489 [1 per cell]

Computed properties:
For the energy, the calculation gives -11.8 eV per cell. As for the calculated density: 11.5 g/cm³. The calculation puts the energy above the most stable polymorph in this dataset at 1.87 eV/f.u. As for the formation energy: -0.17 eV per atom. The value obtained for the size of the total moment is 0.000 μB per atom.